Record 1
## Li4TmPt2 (PBE)

Data for a relaxed Li4TmPt2 crystal.

energy of formation: -410.8 kJ/mol of formula units
density: 8.41 g/cm3
magnetization: 0.00 μB/cell
total energy: -56.932 eV for the cell shown

Lattice parameters (Å, degrees): 4.096 7.522 7.522 90.00 90.00 90.00
Fractional positions:
Li1 0.000 0.099 0.347
Li2 0.000 0.901 0.653
Li3 0.500 0.153 0.599
Li4 0.500 0.847 0.401
Li5 0.500 0.401 0.847
Li6 0.500 0.599 0.153
Li7 0.000 0.347 0.099
Li8 0.000 0.653 0.901
Tm1 0.500 0.000 0.000
Tm2 0.000 0.500 0.500
Pt1 0.000 0.204 0.796
Pt2 0.000 0.796 0.204
Pt3 0.500 0.704 0.704
Pt4 0.500 0.296 0.296

---

Record 2
## Li2Tm3Pt6 (PBE)

Data for a relaxed Li2Tm3Pt6 crystal.

energy of formation: -1014.1 kJ/mol of formula units
density: 13.44 g/cm3
magnetization: 0.00 μB/cell
total energy: -127.996 eV for the cell shown

Lattice parameters (Å, degrees): 8.159 8.159 8.159 109.47 109.47 109.47
Fractional positions:
Li1 0.000 0.500 0.000
Li2 0.500 0.000 0.000
Li3 0.000 0.000 0.500
Li4 0.500 0.500 0.500
Tm1 0.694 0.000 0.694
Tm2 0.306 0.000 0.306
Tm3 0.000 0.306 0.306
Tm4 0.000 0.694 0.694
Tm5 0.306 0.306 0.000
Tm6 0.694 0.694 0.000
Pt1 0.666 0.332 0.666
Pt2 0.666 0.000 0.334
Pt3 0.334 0.000 0.666
Pt4 0.334 0.668 0.334
Pt5 0.000 0.666 0.334
Pt6 0.668 0.334 0.334
Pt7 0.332 0.666 0.666
Pt8 0.000 0.334 0.666
Pt9 0.334 0.666 0.000
Pt10 0.666 0.666 0.332
Pt11 0.334 0.334 0.668
Pt12 0.666 0.334 0.000

---

Record 3
## Li4TmPt (PBE)

Data for a relaxed Li4TmPt crystal.

energy of formation: -122.3 kJ/mol of formula units
density: 6.79 g/cm3
magnetization: 0.32 μB/cell
total energy: -19.435 eV for the cell shown

Lattice parameters (Å, degrees): 5.135 5.135 5.135 60.00 60.00 60.00
Each line ends with the local moment (μB).
Fractional positions:
Tm1 0.250 0.250 0.250  0.12
Pt1 0.000 0.000 0.000  0.00
Li1 0.628 0.628 0.115  0.01
Li2 0.628 0.115 0.628  0.01
Li3 0.628 0.628 0.628  0.01
Li4 0.115 0.628 0.628  0.01

---

Record 4
## Li2UPt5 (PBE)

Data for a relaxed Li2UPt5 crystal.

energy of formation: -505.5 kJ/mol of formula units
density: 16.41 g/cm3
magnetization: 0.65 μB/cell
total energy: -50.559 eV for the cell shown

Lattice parameters (Å, degrees): 4.160 4.160 7.758 105.55 105.55 90.00
Each line ends with the local moment (μB).
Fractional positions:
Li1 0.748 0.748 0.496  0.00
Li2 0.252 0.252 0.504  0.00
U1 0.000 0.000 0.000  0.84
Pt1 0.500 0.500 0.000  -0.05
Pt2 0.862 0.362 0.724  -0.04
Pt3 0.362 0.862 0.724  -0.04
Pt4 0.138 0.638 0.276  -0.04
Pt5 0.638 0.138 0.276  -0.04

---

Record 5
## LiUPt5 (PBE)

Data for a relaxed LiUPt5 crystal.

energy of formation: -374.9 kJ/mol of formula units
density: 17.37 g/cm3
magnetization: 0.04 μB/cell
total energy: -47.291 eV for the cell shown

Lattice parameters (Å, degrees): 4.123 4.123 6.863 90.00 90.00 90.00
Fractional positions:
Li1 0.500 0.500 0.000
U1 0.000 0.000 0.500
Pt1 0.000 0.500 0.787
Pt2 0.000 0.500 0.213
Pt3 0.500 0.000 0.787
Pt4 0.500 0.000 0.213
Pt5 0.500 0.500 0.500

---

Record 6
## Li2UPt4 (PBE)

Data for a relaxed Li2UPt4 crystal.

energy of formation: 165.9 kJ/mol of formula units
density: 10.00 g/cm3
magnetization: 0.00 μB/cell
total energy: -37.560 eV for the cell shown

Lattice parameters (Å, degrees): 5.148 5.148 7.420 110.30 110.30 90.00
Fractional positions:
Li1 0.604 0.604 0.209
Li2 0.396 0.396 0.791
U1 0.000 0.000 0.000
Pt1 0.813 0.813 0.627
Pt2 0.187 0.187 0.373
Pt3 0.000 0.500 0.000
Pt4 0.500 0.000 0.000

---

Record 7
## LiUPt6 (PBE)

Data for a relaxed LiUPt6 crystal.

energy of formation: -453.9 kJ/mol of formula units
energy above the most stable polymorph in this dataset: 0.074 eV/atom
density: 17.91 g/cm3
magnetization: 0.00 μB/cell
total energy: -54.151 eV for the cell shown

Lattice parameters (Å, degrees): 4.658 5.703 5.703 120.00 90.00 90.00
Fractional positions:
Li1 0.500 0.416 0.584
U1 0.000 0.083 0.917
Pt1 0.000 0.084 0.417
Pt2 0.000 0.583 0.916
Pt3 0.000 0.583 0.417
Pt4 0.500 0.420 0.085
Pt5 0.500 0.915 0.580
Pt6 0.500 0.915 0.085

---

Record 8
## Li5UPt6 (PBE)

Data for a relaxed Li5UPt6 crystal.

energy of formation: -759.3 kJ/mol of formula units
density: 13.25 g/cm3
magnetization: 0.65 μB/cell
total energy: -64.971 eV for the cell shown

Lattice parameters (Å, degrees): 4.076 7.423 7.326 59.56 73.84 90.00
Each line ends with the local moment (μB).
Fractional positions:
U1 0.000 0.000 0.000  0.69
Pt1 0.829 0.585 0.341  -0.02
Pt2 0.829 0.074 0.341  -0.02
Pt3 0.500 0.750 0.000  -0.02
Pt4 0.500 0.250 0.000  -0.02
Pt5 0.171 0.926 0.659  -0.02
Pt6 0.171 0.415 0.659  -0.02
Li1 0.684 0.184 0.631  0.00
Li2 0.335 0.335 0.330  0.00
Li3 0.000 0.500 0.000  0.00
Li4 0.665 0.665 0.670  0.00
Li5 0.316 0.816 0.369  0.00

---

Record 9
## LiUPt6 (PBE)

Data for a relaxed LiUPt6 crystal.

energy of formation: -510.6 kJ/mol of formula units
energy above the most stable polymorph in this dataset: 0.000 eV/atom
density: 18.01 g/cm3
magnetization: 0.00 μB/cell
total energy: -54.739 eV for the cell shown

Lattice parameters (Å, degrees): 4.043 5.681 5.681 89.99 90.00 90.00
Fractional positions:
Li1 0.500 0.500 0.500
U1 0.500 0.000 0.000
Pt1 0.000 0.749 0.251
Pt2 0.000 0.251 0.749
Pt3 0.000 0.749 0.749
Pt4 0.000 0.251 0.251
Pt5 0.500 0.500 0.000
Pt6 0.500 0.000 0.500

---

Record 10
## LiU2Pt9 (PBE)

Data for a relaxed LiU2Pt9 crystal.

energy of formation: -763.2 kJ/mol of formula units
density: 18.37 g/cm3
magnetization: 2.11 μB/cell
total energy: -86.767 eV for the cell shown

Lattice parameters (Å, degrees): 4.121 4.121 11.916 90.00 90.00 90.00
Each line ends with the local moment (μB).
Fractional positions:
Li1 0.000 0.000 0.000  0.00
U1 0.000 0.000 0.320  1.26
U2 0.000 0.000 0.680  1.26
Pt1 0.500 0.500 0.000  -0.10
Pt2 0.500 0.500 0.329  -0.04
Pt3 0.500 0.500 0.671  -0.04
Pt4 0.500 0.000 0.157  -0.06
Pt5 0.500 0.000 0.500  -0.04
Pt6 0.500 0.000 0.843  -0.06
Pt7 0.000 0.500 0.157  -0.06
Pt8 0.000 0.500 0.500  -0.04
Pt9 0.000 0.500 0.843  -0.06

---

Record 11
## Li3UPt4 (PBE)

Data for a relaxed Li3UPt4 crystal.

energy of formation: -481.3 kJ/mol of formula units
density: 13.60 g/cm3
magnetization: 2.81 μB/cell
total energy: -92.362 eV for the cell shown

Lattice parameters (Å, degrees): 4.750 5.794 9.219 90.00 90.00 90.00
Each line ends with the local moment (μB).
Fractional positions:
U1 0.000 0.500 0.000  1.45
U2 0.000 0.500 0.500  1.45
Pt1 0.500 0.761 0.000  -0.05
Pt2 0.500 0.761 0.500  -0.05
Pt3 0.500 0.239 0.000  -0.05
Pt4 0.500 0.239 0.500  -0.05
Pt5 0.101 0.762 0.750  -0.05
Pt6 0.899 0.762 0.250  -0.05
Pt7 0.899 0.238 0.250  -0.05
Pt8 0.101 0.238 0.750  -0.05
Li1 0.000 0.000 0.000  0.02
Li2 0.000 0.000 0.500  0.02
Li3 0.606 0.000 0.750  0.00
Li4 0.394 0.000 0.250  0.00
Li5 0.560 0.500 0.750  0.00
Li6 0.440 0.500 0.250  0.00

---

Record 12
## Li2V2Pt7 (PBE)

Data for a relaxed Li2V2Pt7 crystal.

energy of formation: -151.6 kJ/mol of formula units
density: 13.88 g/cm3
magnetization: 2.80 μB/cell
total energy: -65.922 eV for the cell shown

Lattice parameters (Å, degrees): 6.181 4.734 6.181 84.74 99.15 95.26
Each line ends with the local moment (μB).
Fractional positions:
Li1 0.747 0.263 0.253  0.00
Li2 0.253 0.737 0.747  0.00
V1 0.780 0.500 0.780  1.26
V2 0.220 0.500 0.220  1.26
Pt1 0.030 0.242 0.601  -0.04
Pt2 0.601 0.758 0.030  -0.04
Pt3 0.970 0.758 0.399  -0.04
Pt4 0.399 0.242 0.970  -0.04
Pt5 0.000 0.000 0.000  -0.01
Pt6 0.547 0.770 0.453  0.01
Pt7 0.453 0.230 0.547  0.01

---

Repeat the eleventh record exactly.
## Li3UPt4 (PBE)

Data for a relaxed Li3UPt4 crystal.

energy of formation: -481.3 kJ/mol of formula units
density: 13.60 g/cm3
magnetization: 2.81 μB/cell
total energy: -92.362 eV for the cell shown

Lattice parameters (Å, degrees): 4.750 5.794 9.219 90.00 90.00 90.00
Each line ends with the local moment (μB).
Fractional positions:
U1 0.000 0.500 0.000  1.45
U2 0.000 0.500 0.500  1.45
Pt1 0.500 0.761 0.000  -0.05
Pt2 0.500 0.761 0.500  -0.05
Pt3 0.500 0.239 0.000  -0.05
Pt4 0.500 0.239 0.500  -0.05
Pt5 0.101 0.762 0.750  -0.05
Pt6 0.899 0.762 0.250  -0.05
Pt7 0.899 0.238 0.250  -0.05
Pt8 0.101 0.238 0.750  -0.05
Li1 0.000 0.000 0.000  0.02
Li2 0.000 0.000 0.500  0.02
Li3 0.606 0.000 0.750  0.00
Li4 0.394 0.000 0.250  0.00
Li5 0.560 0.500 0.750  0.00
Li6 0.440 0.500 0.250  0.00

---

Copy entry 1 word for word.
## Li4TmPt2 (PBE)

Data for a relaxed Li4TmPt2 crystal.

energy of formation: -410.8 kJ/mol of formula units
density: 8.41 g/cm3
magnetization: 0.00 μB/cell
total energy: -56.932 eV for the cell shown

Lattice parameters (Å, degrees): 4.096 7.522 7.522 90.00 90.00 90.00
Fractional positions:
Li1 0.000 0.099 0.347
Li2 0.000 0.901 0.653
Li3 0.500 0.153 0.599
Li4 0.500 0.847 0.401
Li5 0.500 0.401 0.847
Li6 0.500 0.599 0.153
Li7 0.000 0.347 0.099
Li8 0.000 0.653 0.901
Tm1 0.500 0.000 0.000
Tm2 0.000 0.500 0.500
Pt1 0.000 0.204 0.796
Pt2 0.000 0.796 0.204
Pt3 0.500 0.704 0.704
Pt4 0.500 0.296 0.296